w:
# RbBiPd (PBE, optimized geometry)
data_RbBiPd
_symmetry_space_group_name_H-M 'P 1'
_symmetry_Int_Tables_number 1
_cell_length_a 4.673
_cell_length_b 4.673
_cell_length_c 12.662
_cell_angle_alpha 79.64
_cell_angle_beta 89.96
_cell_angle_gamma 60.00
loop_
_symmetry_equiv_pos_as_xyz
'x,y,z'
loop_
_atom_site_label
_atom_site_type_symbol
_atom_site_fract_x
_atom_site_fract_y
_atom_site_fract_z
Rb1 Rb 0.000 0.000 0.000
Rb2 Rb 0.464 0.075 0.370
Bi1 Bi 0.195 0.612 0.569
Bi2 Bi 0.596 0.807 0.782
Pd1 Pd 0.265 0.471 0.787
Pd2 Pd 0.890 0.222 0.657
# Mass density ... 5.68 g/cm3
# Total moment ... 0.00 Bohr magnetons per cell

x:
# RbBiPd (PBE, optimized geometry)
data_RbBiPd
_symmetry_space_group_name_H-M 'P 1 21/c 1'
_symmetry_Int_Tables_number 14
_cell_length_a 7.259
_cell_length_b 7.417
_cell_length_c 8.670
_cell_angle_alpha 90.00
_cell_angle_beta 120.15
_cell_angle_gamma 90.00
loop_
_symmetry_equiv_pos_as_xyz
'x,y,z'
'-x,-y,-z'
'-x,y+1/2,-z+1/2'
'x,-y+1/2,z+1/2'
loop_
_atom_site_label
_atom_site_type_symbol
_atom_site_fract_x
_atom_site_fract_y
_atom_site_fract_z
Rb1 Rb 0.194 0.125 0.412
Bi1 Bi 0.275 0.622 0.580
Pd1 Pd 0.404 0.615 0.337
# Mass density ... 6.60 g/cm3
# Total moment ... 0.00 Bohr magnetons per cell

Most stable structure - x; separation to the second - 0.108 eV/atom.

w:
# RbBiPd (PBE, optimized geometry)
data_RbBiPd
_symmetry_space_group_name_H-M 'I 4 m m'
_symmetry_Int_Tables_number 107
_symmetry_space_group_name_Hall 'I 4 -2'
_cell_length_a 3.823
_cell_length_b 3.823
_cell_length_c 13.056
_cell_angle_alpha 90.00
_cell_angle_beta 90.00
_cell_angle_gamma 90.00
loop_
_atom_site_label
_atom_site_type_symbol
_atom_site_fract_x
_atom_site_fract_y
_atom_site_fract_z
Rb1 Rb 0.000 0.000 0.000
Bi1 Bi 0.000 0.000 0.720
Pd1 Pd 0.000 0.000 0.287
# Mass density ... 6.98 g/cm3
# Total moment ... 0.00 Bohr magnetons per cell

x:
# RbBiPd (PBE, optimized geometry)
data_RbBiPd
_symmetry_space_group_name_H-M 'P -6 m 2'
_symmetry_Int_Tables_number 187
_symmetry_space_group_name_Hall 'P -6 2'
_cell_length_a 4.6657
_cell_length_b 4.6657
_cell_length_c 5.7476
_cell_angle_alpha 90.00
_cell_angle_beta 90.00
_cell_angle_gamma 120.00
loop_
_atom_site_label
_atom_site_type_symbol
_atom_site_fract_x
_atom_site_fract_y
_atom_site_fract_z
Rb1 Rb 0.0000 0.0000 0.0000
Bi1 Bi 0.3333 0.6667 0.5000
Pd1 Pd 0.6667 0.3333 0.5000
# Mass density ... 6.14 g/cm3
# Total moment ... 0.00 Bohr magnetons per cell

y:
# RbBiPd (PBE, optimized geometry)
data_RbBiPd
_symmetry_space_group_name_H-M 'P -1'
_symmetry_Int_Tables_number 2
_cell_length_a 4.990
_cell_length_b 5.323
_cell_length_c 7.949
_cell_angle_alpha 93.36
_cell_angle_beta 90.11
_cell_angle_gamma 90.04
loop_
_symmetry_equiv_pos_as_xyz
'x,y,z'
'-x,-y,-z'
loop_
_atom_site_label
_atom_site_type_symbol
_atom_site_fract_x
_atom_site_fract_y
_atom_site_fract_z
Rb1 Rb 0.250 0.241 0.343
Bi1 Bi 0.251 0.325 0.883
Pd1 Pd 0.249 0.842 0.002
# Mass density ... 6.32 g/cm3
# Total moment ... 0.00 Bohr magnetons per cell

Most stable structure - y; separation to the second - 0.074 eV/atom.

w:
# Rb3Bi4Pd2 (PBE, optimized geometry)
data_Rb3Bi4Pd2
_symmetry_space_group_name_H-M 'C 1 2/m 1'
_symmetry_Int_Tables_number 12
_cell_length_a 14.311
_cell_length_b 4.546
_cell_length_c 10.522
_cell_angle_alpha 90.00
_cell_angle_beta 102.63
_cell_angle_gamma 90.00
loop_
_symmetry_equiv_pos_as_xyz
'x,y,z'
'-x,-y,-z'
'-x,y,-z'
'x,-y,z'
'x+1/2,y+1/2,z'
'-x+1/2,-y+1/2,-z'
'-x+1/2,y+1/2,-z'
'x+1/2,-y+1/2,z'
loop_
_atom_site_label
_atom_site_type_symbol
_atom_site_fract_x
_atom_site_fract_y
_atom_site_fract_z
Rb1 Rb 0.000 0.000 0.000
Rb2 Rb 0.128 0.500 0.401
Bi1 Bi 0.090 0.000 0.674
Bi2 Bi 0.220 0.500 0.098
Pd1 Pd 0.165 0.500 0.821
# Mass density ... 6.49 g/cm3
# Total moment ... 0.00 Bohr magnetons per cell

x:
# Rb3Bi4Pd2 (PBE, optimized geometry)
data_Rb3Bi4Pd2
_symmetry_space_group_name_H-M 'C 1 2/c 1'
_symmetry_Int_Tables_number 15
_cell_length_a 17.435
_cell_length_b 11.533
_cell_length_c 7.323
_cell_angle_alpha 90.00
_cell_angle_beta 110.72
_cell_angle_gamma 90.00
loop_
_symmetry_equiv_pos_as_xyz
'x,y,z'
'-x,-y,-z'
'-x,y,-z+1/2'
'x,-y,z+1/2'
'x+1/2,y+1/2,z'
'-x+1/2,-y+1/2,-z'
'-x+1/2,y+1/2,-z+1/2'
'x+1/2,-y+1/2,z+1/2'
loop_
_atom_site_label
_atom_site_type_symbol
_atom_site_fract_x
_atom_site_fract_y
_atom_site_fract_z
Rb1 Rb 0.000 0.087 0.250
Rb2 Rb 0.124 0.390 0.123
Bi1 Bi 0.157 0.261 0.676
Bi2 Bi 0.189 0.078 0.040
Pd1 Pd 0.218 0.139 0.433
# Mass density ... 6.29 g/cm3
# Total moment ... 0.00 Bohr magnetons per cell

Most stable structure - w; separation to the second - 0.040 eV/atom.

w:
# Rb2BiPd2 (PBE, optimized geometry)
data_Rb2BiPd2
_symmetry_space_group_name_H-M 'P 4/m b m'
_symmetry_Int_Tables_number 127
_symmetry_space_group_name_Hall '-P 4 2ab'
_cell_length_a 7.209
_cell_length_b 7.209
_cell_length_c 5.791
_cell_angle_alpha 90.00
_cell_angle_beta 90.00
_cell_angle_gamma 90.00
loop_
_atom_site_label
_atom_site_type_symbol
_atom_site_fract_x
_atom_site_fract_y
_atom_site_fract_z
Rb1 Rb 0.178 0.322 0.000
Bi1 Bi 0.000 0.000 0.500
Pd1 Pd 0.133 0.633 0.500
# Mass density ... 6.54 g/cm3
# Total moment ... 0.00 Bohr magnetons per cell

x:
# Rb2BiPd2 (PBE, optimized geometry)
data_Rb2BiPd2
_symmetry_space_group_name_H-M 'I 4/m m m'
_symmetry_Int_Tables_number 139
_symmetry_space_group_name_Hall '-I 4 2'
_cell_length_a 4.629
_cell_length_b 4.629
_cell_length_c 13.875
_cell_angle_alpha 90.00
_cell_angle_beta 90.00
_cell_angle_gamma 90.00
loop_
_atom_site_label
_atom_site_type_symbol
_atom_site_fract_x
_atom_site_fract_y
_atom_site_fract_z
Rb1 Rb 0.000 0.500 0.250
Bi1 Bi 0.000 0.000 0.000
Pd1 Pd 0.000 0.000 0.408
# Mass density ... 6.62 g/cm3
# Total moment ... 0.00 Bohr magnetons per cell

Most stable structure - w; separation to the second - 0.537 eV/atom.

w:
# RbBi3Pd3 (PBE, optimized geometry)
data_RbBi3Pd3
_symmetry_space_group_name_H-M 'R -3'
_symmetry_Int_Tables_number 148
_symmetry_space_group_name_Hall '-R 3'
_cell_length_a 7.7304
_cell_length_b 7.7304
_cell_length_c 26.2048
_cell_angle_alpha 90.00
_cell_angle_beta 90.00
_cell_angle_gamma 120.00
loop_
_atom_site_label
_atom_site_type_symbol
_atom_site_fract_x
_atom_site_fract_y
_atom_site_fract_z
Rb1 Rb 0.0000 0.0000 0.1574
Bi1 Bi 0.0121 0.3906 0.0638
Pd1 Pd 0.0069 0.2843 0.9631
# Mass density ... 7.58 g/cm3
# Total moment ... 0.00 Bohr magnetons per cell

x:
# RbBi3Pd3 (PBE, optimized geometry)
data_RbBi3Pd3
_symmetry_space_group_name_H-M 'P m -3 n'
_symmetry_Int_Tables_number 223
_symmetry_space_group_name_Hall '-P 4n 2 3'
_cell_length_a 7.675
_cell_length_b 7.675
_cell_length_c 7.675
_cell_angle_alpha 90.00
_cell_angle_beta 90.00
_cell_angle_gamma 90.00
loop_
_atom_site_label
_atom_site_type_symbol
_atom_site_fract_x
_atom_site_fract_y
_atom_site_fract_z
Rb1 Rb 0.000 0.000 0.000
Bi1 Bi 0.000 0.250 0.500
Pd1 Pd 0.000 0.500 0.250
# Mass density ... 7.58 g/cm3
# Total moment ... 0.00 Bohr magnetons per cell

Most stable structure - w; separation to the second - 0.057 eV/atom.

w:
# Re2Bi2Pd (PBE, optimized geometry)
data_Re2Bi2Pd
_symmetry_space_group_name_H-M 'I 4/m m m'
_symmetry_Int_Tables_number 139
_symmetry_space_group_name_Hall '-I 4 2'
_cell_length_a 3.584
_cell_length_b 3.584
_cell_length_c 17.157
_cell_angle_alpha 90.00
_cell_angle_beta 90.00
_cell_angle_gamma 90.00
loop_
_atom_site_label
_atom_site_type_symbol
_atom_site_fract_x
_atom_site_fract_y
_atom_site_fract_z
Re1 Re 0.000 0.500 0.250
Bi1 Bi 0.000 0.000 0.105
Pd1 Pd 0.000 0.000 0.500
# Mass density ... 13.51 g/cm3
# Total moment ... 0.00 Bohr magnetons per cell

x:
# Re2Bi2Pd (PBE, optimized geometry)
data_Re2Bi2Pd
_symmetry_space_group_name_H-M 'P 4/m b m'
_symmetry_Int_Tables_number 127
_symmetry_space_group_name_Hall '-P 4 2ab'
_cell_length_a 7.857
_cell_length_b 7.857
_cell_length_c 3.288
_cell_angle_alpha 90.00
_cell_angle_beta 90.00
_cell_angle_gamma 90.00
loop_
_atom_site_label
_atom_site_type_symbol
_atom_site_fract_x
_atom_site_fract_y
_atom_site_fract_z
Re1 Re 0.131 0.369 0.000
Bi1 Bi 0.164 0.664 0.500
Pd1 Pd 0.000 0.000 0.500
# Mass density ... 14.67 g/cm3
# Total moment ... 3.45 Bohr magnetons per cell

Most stable structure - w; separation to the second - 0.568 eV/atom.

w:
# ReBi2Pd (PBE, optimized geometry)
data_ReBi2Pd
_symmetry_space_group_name_H-M 'F m -3 m'
_symmetry_Int_Tables_number 225
_symmetry_space_group_name_Hall '-F 4 2 3'
_cell_length_a 6.938
_cell_length_b 6.938
_cell_length_c 6.938
_cell_angle_alpha 90.00
_cell_angle_beta 90.00
_cell_angle_gamma 90.00
loop_
_atom_site_label
_atom_site_type_symbol
_atom_site_fract_x
_atom_site_fract_y
_atom_site_fract_z
Re1 Re 0.000 0.000 0.000
Bi1 Bi 0.250 0.250 0.250
Pd1 Pd 0.000 0.000 0.500
# Mass density ... 14.13 g/cm3
# Total moment ... 0.00 Bohr magnetons per cell

x:
# ReBi2Pd (PBE, optimized geometry)
data_ReBi2Pd
_symmetry_space_group_name_H-M 'I -4 2 d'
_symmetry_Int_Tables_number 122
_symmetry_space_group_name_Hall 'I -4 2bw'
_cell_length_a 6.243
_cell_length_b 6.243
_cell_length_c 12.332
_cell_angle_alpha 90.00
_cell_angle_beta 90.00
_cell_angle_gamma 90.00
loop_
_atom_site_label
_atom_site_type_symbol
_atom_site_fract_x
_atom_site_fract_y
_atom_site_fract_z
Re1 Re 0.000 0.000 0.000
Bi1 Bi 0.242 0.250 0.125
Pd1 Pd 0.000 0.000 0.500
# Mass density ... 9.82 g/cm3
# Total moment ... 0.00 Bohr magnetons per cell

Most stable structure - w; separation to the second - 0.289 eV/atom.

w:
# Bi3PdRh (PBE, optimized geometry)
data_Bi3PdRh
_symmetry_space_group_name_H-M 'P -1'
_symmetry_Int_Tables_number 2
_cell_length_a 3.461
_cell_length_b 8.116
_cell_length_c 9.748
_cell_angle_alpha 71.74
_cell_angle_beta 79.99
_cell_angle_gamma 89.59
loop_
_symmetry_equiv_pos_as_xyz
'x,y,z'
'-x,-y,-z'
loop_
_atom_site_label
_atom_site_type_symbol
_atom_site_fract_x
_atom_site_fract_y
_atom_site_fract_z
Bi1 Bi 0.071 0.389 0.377
Bi2 Bi 0.093 0.996 0.326
Bi3 Bi 0.281 0.337 0.945
Pd1 Pd 0.417 0.305 0.656
Rh1 Rh 0.332 0.712 0.823
# Mass density ... 10.86 g/cm3
# Total moment ... 0.00 Bohr magnetons per cell

x:
# Bi3PdRh (PBE, optimized geometry)
data_Bi3PdRh
_symmetry_space_group_name_H-M 'P m -3 m'
_symmetry_Int_Tables_number 221
_symmetry_space_group_name_Hall '-P 4 2 3'
_cell_length_a 5.247
_cell_length_b 5.247
_cell_length_c 5.247
_cell_angle_alpha 90.00
_cell_angle_beta 90.00
_cell_angle_gamma 90.00
loop_
_atom_site_label
_atom_site_type_symbol
_atom_site_fract_x
_atom_site_fract_y
_atom_site_fract_z
Bi1 Bi 0.000 0.000 0.500
Pd1 Pd 0.500 0.500 0.500
Rh1 Rh 0.000 0.000 0.000
# Mass density ... 9.61 g/cm3
# Total moment ... 0.00 Bohr magnetons per cell

Most stable structure - w; separation to the second - 0.526 eV/atom.